Below is TbSm2Er8 after structural relaxation, with properties calculated at the GGA-PBE level.

Structure (extended XYZ):
```
11
Lattice="4.495 -7.994 0.000 4.495 7.994 0.000 -3.211 0.000 4.884" Properties=species:S:1:pos:R:3 pbc="T T T"
Tb 0.000 0.000 0.000
Sm 2.890 3.084 2.442
Sm 2.890 -3.084 2.442
Er -0.237 1.872 3.300
Er 4.495 4.684 0.000
Er -0.237 -1.872 3.300
Er 3.216 0.000 1.000
Er 2.564 0.000 3.883
Er 6.017 1.872 1.583
Er 4.495 -4.684 0.000
Er 6.017 -1.872 1.583
```

Calculated values
energy of formation = 0.1619 eV/atom
VASP energy = -0.3260 Ry/atom
mass density = 8.50 g/cm3
symmetry = C2/m (12)
magnetic moment = 0.00 μB per formula unit